Entry 1:
4
Lattice="-2.0578 2.3117 5.1299 2.0578 -2.3117 5.1299 2.0578 2.3117 -5.1299" Properties=species:S:1:pos:R:3 comment="CaSc2Sb SCAN PBEsol geometry" formation_energy_uncorrected_ev_per_atom=-0.396 dos_at_fermi_per_ev_cell=3.48 space_group="Imm2, No. 44" pbc="T T T"
Ca 0.0000 0.0000 0.0000
Sc 0.0000 0.0000 4.7741
Sc 0.0000 2.3117 2.3967
Sb 2.0578 0.0000 2.5080

***

Entry 2:
6
Lattice="0.0000 4.3747 4.3747 4.3747 0.0000 4.3747 4.3747 4.3747 0.0000" Properties=species:S:1:pos:R:3 comment="CaScSb4 SCAN PBEsol geometry" formation_energy_uncorrected_ev_per_atom=-0.085 dos_at_fermi_per_ev_cell=5.52 space_group="F-43m, No. 216" pbc="T T T"
Ca 0.0000 0.0000 0.0000
Sc 6.5621 6.5621 6.5621
Sb 3.2850 3.2850 3.2850
Sb 5.4645 5.4645 3.2850
Sb 5.4645 3.2850 5.4645
Sb 3.2850 5.4645 5.4645

***

Entry 3:
4
Lattice="2.2111 1.2766 6.1640 -2.2111 1.2766 6.1640 0.0000 -2.5531 6.1640" Properties=species:S:1:pos:R:3 comment="CaSbSe2 SCAN PBEsol geometry" formation_energy_uncorrected_ev_per_atom=-0.917 dos_at_fermi_per_ev_cell=2.11 space_group="R-3m, No. 166" pbc="T T T"
Ca 0.0000 0.0000 0.0000
Sb 0.0000 0.0000 9.2460
Se 0.0000 0.0000 4.5691
Se 0.0000 0.0000 13.9228

***

Entry 4:
10
Lattice="7.7408 0.0000 0.0000 0.0000 7.7408 0.0000 0.0000 0.0000 4.7537" Properties=species:S:1:pos:R:3 comment="Ca2Sb2Se SCAN PBEsol geometry" formation_energy_uncorrected_ev_per_atom=-0.973 dos_at_fermi_per_ev_cell=2.93 space_group="P4/mbm, No. 127" pbc="T T T"
Ca 1.3749 2.4955 0.0000
Ca 2.4955 6.3659 0.0000
Ca 5.2453 1.3749 0.0000
Ca 6.3659 5.2453 0.0000
Sb 0.9662 4.8366 2.3769
Sb 2.9042 0.9662 2.3769
Sb 4.8366 6.7746 2.3769
Sb 6.7746 2.9042 2.3769
Se 0.0000 0.0000 0.0000
Se 3.8704 3.8704 0.0000

***

Entry 5:
4
Lattice="2.0394 1.1774 7.7221 -2.0394 1.1774 7.7221 0.0000 -2.3549 7.7221" Properties=species:S:1:pos:R:3 comment="Ca2SbSe SCAN PBEsol geometry" formation_energy_uncorrected_ev_per_atom=-1.531 dos_at_fermi_per_ev_cell=1.38 relative_energy_ev_per_atom=0.0000 space_group="R-3m, No. 166" pbc="T T T"
Ca 0.0000 0.0000 5.5718
Ca 0.0000 0.0000 17.5946
Sb 0.0000 0.0000 0.0000
Se 0.0000 0.0000 11.5832

***

Entry 6:
4
Lattice="0.0000 3.7335 3.7335 3.7335 0.0000 3.7335 3.7335 3.7335 0.0000" Properties=species:S:1:pos:R:3 comment="Ca2SbSe SCAN PBEsol geometry" formation_energy_uncorrected_ev_per_atom=-1.176 dos_at_fermi_per_ev_cell=4.33 relative_energy_ev_per_atom=0.3556 space_group="Fm-3m, No. 225" pbc="T T T"
Ca 1.8668 1.8668 1.8668
Ca 5.6003 5.6003 5.6003
Sb 0.0000 0.0000 0.0000
Se 3.7335 3.7335 3.7335

***

Entry 7:
5
Lattice="5.3279 0.0000 0.0000 0.0000 5.3279 0.0000 0.0000 0.0000 5.5271" Properties=species:S:1:pos:R:3 comment="CaSb2TeSe SCAN PBEsol geometry" formation_energy_uncorrected_ev_per_atom=0.031 dos_at_fermi_per_ev_cell=1.98 space_group="P4/mmm, No. 123" pbc="T T T"
Ca 0.0000 0.0000 0.0000
Sb 0.0000 2.6639 2.7636
Sb 2.6639 0.0000 2.7636
Te 2.6639 2.6639 0.0000
Se 2.6639 2.6639 2.7636

***

Entry 8:
5
Lattice="5.6663 0.0000 0.0000 0.0000 5.6663 0.0000 0.0000 0.0000 5.5060" Properties=species:S:1:pos:R:3 comment="CaSnSbTe2 SCAN PBEsol geometry" formation_energy_uncorrected_ev_per_atom=-0.021 dos_at_fermi_per_ev_cell=3.88 space_group="P4/mmm, No. 123" pbc="T T T"
Ca 0.0000 0.0000 0.0000
Sn 2.8332 2.8332 2.7530
Sb 2.8332 2.8332 0.0000
Te 0.0000 2.8332 2.7530
Te 2.8332 0.0000 2.7530